# Ce6PuHg, optimized geometry, DFT PBE
# N(E_F) in states/eV per cell: 37.75
# SG: No. 15
# Total energy in eV per atom: -6.413
data_Ce6PuHg
_chemical_formula_sum 'Ce12 Pu2 Hg2'
_symmetry_space_group_name_H-M 'P 1'
_symmetry_Int_Tables_number 1
_cell_length_a 6.0002
_cell_length_b 6.9823
_cell_length_c 11.7181
_cell_angle_alpha 100.08
_cell_angle_beta 90.00
_cell_angle_gamma 115.45
loop_
_symmetry_equiv_pos_as_xyz
'x,y,z'
loop_
_atom_site_label
_atom_site_type_symbol
_atom_site_fract_x
_atom_site_fract_y
_atom_site_fract_z
Ce1 Ce 0.9981 0.1598 0.3954
Ce2 Ce 0.1617 0.1598 0.8954
Ce3 Ce 0.1450 0.4442 0.6822
Ce4 Ce 0.2992 0.4442 0.1822
Ce5 Ce 0.0019 0.8402 0.6046
Ce6 Ce 0.8383 0.8402 0.1046
Ce7 Ce 0.5626 0.2763 0.5348
Ce8 Ce 0.7137 0.2763 0.0348
Ce9 Ce 0.8550 0.5558 0.3178
Ce10 Ce 0.7008 0.5558 0.8178
Ce11 Ce 0.4374 0.7237 0.4652
Ce12 Ce 0.2863 0.7237 0.9652
Pu1 Pu 0.0000 0.5000 0.5000
Pu2 Pu 0.5000 0.5000 0.0000
Hg1 Hg 0.4055 0.0000 0.2500
Hg2 Hg 0.5945 0.0000 0.7500